No. 1
First-principles (PBE) data for crystalline YScNCl2 at its relaxed geometry, as listed in Alexandria.

Summary:
For the total energy, the calculation gives -4.69 eV/atom. As for the magnetic moment: 1.00 μB per formula unit.

Cell lengths 4.982, 4.982, 7.001 Å; angles 90.00, 90.00, 90.00 degrees
Space group P4/mmm (No. 123)
Asymmetric unit:
1 Y 0.000 0.000 0.000 (multiplicity 1)
2 Sc 0.000 0.000 0.500 (multiplicity 1)
3 N 0.500 0.500 0.500 (multiplicity 1)
4 Cl 0.000 0.500 0.000 (multiplicity 2)



No. 2
First-principles (PBE) data for crystalline ScZnN2Cl at its relaxed geometry, as listed in Alexandria.

Summary:
For the total energy, the calculation gives -3.71 eV/atom. As for the magnetic moment: 0.03 μB per formula unit.

Cell lengths 4.193, 4.193, 4.214 Å; angles 90.00, 90.00, 90.00 degrees
Space group P4/mmm (No. 123)
Asymmetric unit:
1 Sc 0.000 0.000 0.000 (multiplicity 1)
2 Zn 0.500 0.500 0.000 (multiplicity 1)
3 N 0.000 0.500 0.500 (multiplicity 2)
4 Cl 0.500 0.500 0.500 (multiplicity 1)



No. 3
First-principles (PBE) data for crystalline SeNCl2 at its relaxed geometry, as listed in Alexandria.

Summary:
For the total energy, the calculation gives -3.12 eV/atom. As for the magnetic moment: 0.00 μB per formula unit.

Cell lengths 15.315, 3.826, 8.526 Å; angles 90.00, 91.22, 90.00 degrees
Space group C2/m (No. 12)
Asymmetric unit:
1 Se 0.071 0.000 0.481 (multiplicity 4)
2 N 0.138 0.000 0.229 (multiplicity 4)
3 Cl 0.112 0.500 0.142 (multiplicity 4)
4 Cl 0.248 0.000 0.267 (multiplicity 4)



No. 4
First-principles (PBE) data for crystalline Se2N2Cl3 at its relaxed geometry, as listed in Alexandria.

Summary:
For the total energy, the calculation gives -3.56 eV/atom. As for the magnetic moment: 0.00 μB per formula unit.

Cell lengths 5.626, 6.207, 6.644 Å; angles 64.29, 71.50, 87.62 degrees
Space group P-1 (No. 2)
Asymmetric unit:
1 Se 0.216 0.424 0.303 (multiplicity 2)
2 N 0.183 0.689 0.341 (multiplicity 2)
3 Cl 0.000 0.500 0.000 (multiplicity 1)
4 Cl 0.443 0.826 0.339 (multiplicity 2)



No. 5
First-principles (PBE) data for crystalline SeN2Cl5 at its relaxed geometry, as listed in Alexandria.

Summary:
For the total energy, the calculation gives -2.46 eV/atom. As for the magnetic moment: 6.00 μB per formula unit.

Cell lengths 7.922, 9.749, 7.844 Å; angles 90.00, 120.19, 90.00 degrees
Space group Cm (No. 8)
Asymmetric unit:
1 Se 0.000 0.000 0.000 (multiplicity 2)
2 N 0.377 0.249 0.500 (multiplicity 4)
3 Cl 0.006 0.252 0.000 (multiplicity 4)
4 Cl 0.209 0.500 0.744 (multiplicity 2)
5 Cl 0.428 0.000 0.000 (multiplicity 2)
6 Cl 0.465 0.500 0.256 (multiplicity 2)



No. 6
First-principles (PBE) data for crystalline SeN2Cl2 at its relaxed geometry, as listed in Alexandria.

Summary:
For the total energy, the calculation gives -4.84 eV/atom. As for the magnetic moment: 0.00 μB per formula unit.

Cell lengths 8.158, 3.519, 11.057 Å; angles 90.00, 105.05, 90.00 degrees
Space group C2/m (No. 12)
Asymmetric unit:
1 Se 0.000 0.000 0.000 (multiplicity 2)
2 N 0.067 0.000 0.529 (multiplicity 4)
3 Cl 0.060 0.500 0.163 (multiplicity 4)